# 1
## K3Pr2YO6 (GGA-PBE)

Data for an optimized crystal structure of K3Pr2YO6.

Values from the calculation:
Fermi-level density of states (states/eV per cell): 0.0
Space-group type: C2/m, No. 12
Calculated total energy (eV/atom): -6.715
Formation energy without anion corrections (eV per formula unit): -31.5
Magnetization (μB/cell): 0.00
Calculated volume (Å³ per cell): 214.3

a = 6.2653 Å, b = 6.2653 Å, c = 6.6393 Å
α = 99.03°, β = 99.03°, γ = 120.01°
Positions (direct):
K  0.0000  0.0000  0.0000
K  0.3359  0.6641  0.0000
K  0.6641  0.3359  0.0000
Pr  0.1667  0.8333  0.5000
Pr  0.8333  0.1667  0.5000
Y  0.5000  0.5000  0.5000
O  0.1147  0.4366  0.3097
O  0.2413  0.2413  0.6897
O  0.4366  0.1147  0.3097
O  0.5634  0.8853  0.6903
O  0.7587  0.7587  0.3103
O  0.8853  0.5634  0.6903

# 2
## AgRh2Cl (GGA-PBE)

Data for an optimized crystal structure of AgRh2Cl.

Values from the calculation:
Fermi-level density of states (states/eV per cell): 10.6
Space-group type: Cmmm, No. 65
Calculated total energy (eV/atom): -4.225
Formation energy without anion corrections (eV per formula unit): 2.5
Magnetization (μB/cell): 2.49
Polymorph energy (0 for the lowest one) (meV per atom): 446
Calculated volume (Å³ per cell): 128.2

a = 5.9295 Å, b = 7.4774 Å, c = 2.8923 Å
α = 90.00°, β = 90.00°, γ = 90.00°
Positions (direct):
Ag  0.0000  0.0000  0.0000
Ag  0.5000  0.5000  0.0000
Rh  0.2500  0.2500  0.5000
Rh  0.2500  0.7500  0.5000
Rh  0.7500  0.2500  0.5000
Rh  0.7500  0.7500  0.5000
Cl  0.0000  0.5000  0.0000
Cl  0.5000  0.0000  0.0000

# 3
## LuCu4Hg (GGA-PBE)

Data for an optimized crystal structure of LuCu4Hg.

Values from the calculation:
Formation enthalpy at 0 K (eV/atom): -0.238
Fermi-level density of states (states/eV per cell): 7.7
Space-group type: F-43m, No. 216
Calculated total energy (eV/atom): -3.772
Magnetization (μB/cell): 0.00
Calculated volume (Å³ per cell): 92.0

a = 5.0673 Å, b = 5.0673 Å, c = 5.0673 Å
α = 60.00°, β = 60.00°, γ = 60.00°
Positions (direct):
Lu  0.0000  0.0000  0.0000
Cu  0.1251  0.6250  0.6250
Cu  0.6250  0.1251  0.6250
Cu  0.6250  0.6250  0.1251
Cu  0.6250  0.6250  0.6250
Hg  0.2500  0.2500  0.2500

# 4
## Ba2GeBi (GGA-PBE)

Data for an optimized crystal structure of Ba2GeBi.

Values from the calculation:
Formation enthalpy at 0 K (eV/atom): -0.497
Fermi-level density of states (states/eV per cell): 13.2
Space-group type: Fm-3m, No. 225
Calculated total energy (eV/atom): -3.583
Magnetization (μB/cell): 0.00
Polymorph energy (0 for the lowest one) (meV per atom): 49
Calculated volume (Å³ per cell): 599.7

a = 8.4330 Å, b = 8.4330 Å, c = 8.4330 Å
α = 90.00°, β = 90.00°, γ = 90.00°
Positions (direct):
Ba  0.2500  0.2500  0.2500
Ba  0.2500  0.2500  0.7500
Ba  0.2500  0.7500  0.2500
Ba  0.2500  0.7500  0.7500
Ba  0.7500  0.2500  0.2500
Ba  0.7500  0.2500  0.7500
Ba  0.7500  0.7500  0.2500
Ba  0.7500  0.7500  0.7500
Ge  0.0000  0.0000  0.0000
Ge  0.0000  0.5000  0.5000
Ge  0.5000  0.0000  0.5000
Ge  0.5000  0.5000  0.0000
Bi  0.0000  0.0000  0.5000
Bi  0.0000  0.5000  0.0000
Bi  0.5000  0.0000  0.0000
Bi  0.5000  0.5000  0.5000